Crystalline Nd3Tm2PuTe6 at its relaxed geometry, computed with GGA-PBE.

The calculation puts the raw total energy at -144.2 eV per cell. As for the density: 8.06 g/cm³. As for the density of states at the Fermi level: 1.02 states/eV/atom. Its volume is 30.5 A^3/atom. Its raw formation energy is -1.304 eV/atom.

It has space group C2/m (No. 12), with a = 19.3848 Å, b = 4.3720 Å, c = 8.9340 Å, α = 90.00°, β = 104.45° and γ = 90.00°. The inequivalent atoms are Nd at (0.0000, 0.0000, 0.0000), Nd at (0.1638, 0.5000, 0.3334), Tm at (0.1629, 0.5000, 0.8270), Pu at (0.0000, 0.0000, 0.5000), Te at (0.0036, 0.5000, 0.7476), Te at (0.1668, 0.0000, 0.5936) and Te at (0.1721, 0.0000, 0.0734).